No. 1
Compound: KRbCd2Hg
Source: Alexandria via LeMat-Bulk
Functional: GGA-PBE
Structure: optimized geometry

Excess energy over the best structure of this formula in the dataset = 0 meV/atom
DFT formation energy = -78.3 meV/atom

a = 4.708 Å, b = 5.600 Å, c = 14.940 Å
α = 90.00°, β = 90.00°, γ = 90.00°
Space group Imm2 (No. 44)
Asymmetric unit:
K 0.000 0.000 0.000 [2 per cell]
Rb 0.000 0.500 0.239 [2 per cell]
Cd 0.000 0.000 0.500 [2 per cell]
Cd 0.000 0.500 0.863 [2 per cell]
Hg 0.000 0.500 0.665 [2 per cell]

No. 2
Compound: KCdHg2Rh
Source: Alexandria via LeMat-Bulk
Functional: GGA-PBE
Structure: optimized geometry

DFT formation energy = -144.0 meV/atom

a = 5.331 Å, b = 5.331 Å, c = 5.244 Å
α = 90.00°, β = 90.00°, γ = 90.00°
Space group P4/mmm (No. 123)
Asymmetric unit:
K 0.000 0.000 0.000 [1 per cell]
Cd 0.500 0.500 0.000 [1 per cell]
Hg 0.000 0.500 0.500 [2 per cell]
Rh 0.500 0.500 0.500 [1 per cell]

No. 3
Compound: KCd2HgRh
Source: Alexandria via LeMat-Bulk
Functional: GGA-PBE
Structure: optimized geometry

Excess energy over the best structure of this formula in the dataset = 973 meV/atom
DFT formation energy = 848.2 meV/atom

a = 5.325 Å, b = 5.325 Å, c = 5.879 Å
α = 90.00°, β = 90.00°, γ = 90.00°
Space group P4/mmm (No. 123)
Asymmetric unit:
K 0.000 0.000 0.000 [1 per cell]
Cd 0.000 0.500 0.500 [2 per cell]
Hg 0.000 0.000 0.500 [1 per cell]
Rh 0.500 0.500 0.000 [1 per cell]

No. 4
Compound: KCd2HgRh
Source: Alexandria via LeMat-Bulk
Functional: GGA-PBE
Structure: optimized geometry

Excess energy over the best structure of this formula in the dataset = 0 meV/atom
DFT formation energy = -125.2 meV/atom

a = 5.255 Å, b = 5.255 Å, c = 5.341 Å
α = 90.00°, β = 90.00°, γ = 90.00°
Space group P4/mmm (No. 123)
Asymmetric unit:
K 0.000 0.000 0.000 [1 per cell]
Cd 0.000 0.500 0.500 [2 per cell]
Hg 0.500 0.500 0.000 [1 per cell]
Rh 0.500 0.500 0.500 [1 per cell]

No. 5
Compound: KCdHgSb
Source: Alexandria via LeMat-Bulk
Functional: GGA-PBE
Structure: optimized geometry

E_tot = -0.064 Ha/atom

a = 7.733 Å, b = 7.733 Å, c = 7.733 Å
α = 90.00°, β = 90.00°, γ = 90.00°
Space group F-43m (No. 216)
Asymmetric unit:
K 0.000 0.000 0.000 [4 per cell]
Cd 0.250 0.250 0.750 [4 per cell]
Hg 0.250 0.250 0.250 [4 per cell]
Sb 0.000 0.000 0.500 [4 per cell]

No. 6
Compound: K2Cd3HgSb4
Source: Alexandria via LeMat-Bulk
Functional: GGA-PBE
Structure: optimized geometry

E_tot = -0.089 Ha/atom

a = 5.146 Å, b = 5.146 Å, c = 11.808 Å
α = 90.00°, β = 90.00°, γ = 90.00°
Space group P-4m2 (No. 115)
Asymmetric unit:
K 0.000 0.500 0.248 [2 per cell]
Cd 0.000 0.000 0.000 [1 per cell]
Cd 0.000 0.500 0.631 [2 per cell]
Hg 0.500 0.500 0.000 [1 per cell]
Sb 0.000 0.000 0.500 [1 per cell]
Sb 0.000 0.500 0.871 [2 per cell]
Sb 0.500 0.500 0.500 [1 per cell]

No. 7
Compound: KCdHgSe2
Source: Alexandria via LeMat-Bulk
Functional: GGA-PBE
Structure: optimized geometry

E_tot = -0.087 Ha/atom

a = 6.134 Å, b = 14.142 Å, c = 7.602 Å
α = 90.00°, β = 90.00°, γ = 90.00°
Space group Cmme (No. 67)
Asymmetric unit:
K 0.000 0.250 0.199 [4 per cell]
Cd 0.250 0.000 0.000 [4 per cell]
Hg 0.000 0.000 0.500 [4 per cell]
Se 0.000 0.120 0.804 [8 per cell]

No. 8
Compound: KCdSnHg
Source: Alexandria via LeMat-Bulk
Functional: GGA-PBE
Structure: optimized geometry

DFT formation energy = -78.2 meV/atom

a = 7.678 Å, b = 7.678 Å, c = 7.678 Å
α = 90.00°, β = 90.00°, γ = 90.00°
Space group F-43m (No. 216)
Asymmetric unit:
K 0.000 0.000 0.000 [4 per cell]
Cd 0.250 0.250 0.750 [4 per cell]
Sn 0.000 0.000 0.500 [4 per cell]
Hg 0.250 0.250 0.250 [4 per cell]

No. 9
Compound: K2CdSn4Hg3
Source: Alexandria via LeMat-Bulk
Functional: GGA-PBE
Structure: optimized geometry

DFT formation energy = -145.6 meV/atom

a = 4.896 Å, b = 4.896 Å, c = 12.638 Å
α = 90.00°, β = 90.00°, γ = 90.00°
Space group P-4m2 (No. 115)
Asymmetric unit:
K 0.000 0.500 0.247 [2 per cell]
Cd 0.500 0.500 0.000 [1 per cell]
Sn 0.000 0.000 0.500 [1 per cell]
Sn 0.000 0.500 0.867 [2 per cell]
Sn 0.500 0.500 0.500 [1 per cell]
Hg 0.000 0.000 0.000 [1 per cell]
Hg 0.000 0.500 0.643 [2 per cell]

No. 10
Compound: K2Cd3SnHg12
Source: Alexandria via LeMat-Bulk
Functional: GGA-PBE
Structure: optimized geometry

DFT formation energy = -60.0 meV/atom

a = 6.9744 Å, b = 6.9744 Å, c = 38.3672 Å
α = 90.00°, β = 90.00°, γ = 120.00°
Space group R-3m (No. 166, hexagonal axes)
Asymmetric unit:
K 0.0000 0.0000 0.1396 [6 per cell]
Cd 0.0000 0.5000 0.0000 [9 per cell]
Sn 0.0000 0.0000 0.5000 [3 per cell]
Hg 0.0185 0.5092 0.8899 [18 per cell]
Hg 0.0427 0.5213 0.6142 [18 per cell]

No. 11
Compound: KCdSnHg2
Source: Alexandria via LeMat-Bulk
Functional: GGA-PBE
Structure: optimized geometry

DFT formation energy = 22.9 meV/atom

a = 5.939 Å, b = 5.939 Å, c = 5.537 Å
α = 90.00°, β = 90.00°, γ = 90.00°
Space group P4/mmm (No. 123)
Asymmetric unit:
K 0.000 0.000 0.000 [1 per cell]
Cd 0.500 0.500 0.000 [1 per cell]
Sn 0.500 0.500 0.500 [1 per cell]
Hg 0.000 0.500 0.500 [2 per cell]

No. 12
Compound: K2Cd4SnHg3
Source: Alexandria via LeMat-Bulk
Functional: GGA-PBE
Structure: optimized geometry

DFT formation energy = -135.0 meV/atom

a = 5.080 Å, b = 5.080 Å, c = 11.838 Å
α = 90.00°, β = 90.00°, γ = 90.00°
Space group P-4m2 (No. 115)
Asymmetric unit:
K 0.000 0.500 0.245 [2 per cell]
Cd 0.000 0.000 0.500 [1 per cell]
Cd 0.000 0.500 0.873 [2 per cell]
Cd 0.500 0.500 0.500 [1 per cell]
Sn 0.500 0.500 0.000 [1 per cell]
Hg 0.000 0.000 0.000 [1 per cell]
Hg 0.000 0.500 0.631 [2 per cell]